Record 1
This record from Alexandria via LeMat-Bulk describes a geometry-optimized NdDyAu structure. The functional is PBE-GGA.

extended XYZ file:
```
12
Lattice="6.8935 0.0000 0.0000 0.0000 6.5385 0.1621 0.0000 -1.1732 7.6046" Properties=species:S:1:pos:R:3 pbc="T T T"
Au 3.7886 3.4788 2.6167
Au 6.5515 2.8922 6.4190
Au 0.3419 2.4731 1.3477
Au 3.1048 1.8865 5.1500
Dy 5.7929 5.3020 1.4029
Dy 4.5473 4.7154 5.2052
Dy 2.3462 0.6499 2.5616
Dy 1.1006 0.0633 6.3639
Nd 2.3195 4.6397 0.2011
Nd 1.1272 4.0531 4.0034
Nd 5.7662 1.3122 3.7634
Nd 4.5740 0.7256 7.5657
```

Calculated values
The energy of formation from the pure elements comes out at -475 meV/atom. The calculated total energy is -4.6905 eV per atom. The energy above the most stable polymorph in this dataset comes out at 0.37 eV/f.u. Its total magnetization is 0.00 μB per atom.

---

Record 2
This record from Alexandria via LeMat-Bulk describes a geometry-optimized NdDyAu structure. The functional is PBE-GGA.

extended XYZ file:
```
18
Lattice="-0.4532 2.6775 4.1691 4.7223 -4.5557 3.4392 10.8974 7.5227 -3.6468" Properties=species:S:1:pos:R:3 pbc="T T T"
Nd 6.2045 2.4794 3.5355
Nd 7.6917 6.0330 -1.5540
Nd 7.4748 -0.3885 5.5155
Nd 3.4289 -0.1797 4.9416
Nd 8.9620 3.1651 0.4260
Nd 11.7377 5.8242 -0.9801
Dy 5.3655 -3.0406 4.0206
Dy 8.8994 0.1691 2.3433
Dy 11.2939 4.8691 2.5541
Dy 6.2672 5.4754 1.6182
Dy 3.8726 0.7754 1.4074
Dy 9.8010 8.6851 -0.0590
Au 13.4441 3.8746 0.4575
Au 9.0834 6.3139 1.3859
Au 9.3374 2.8529 3.6363
Au 1.7224 1.7700 3.5040
Au 5.8291 2.7916 0.3253
Au 6.0831 -0.6694 2.5757
```

Calculated values
The energy of formation from the pure elements comes out at -580 meV/atom. The calculated total energy is -4.7957 eV per atom. The energy above the most stable polymorph in this dataset comes out at 0.05 eV/f.u. Its total magnetization is 0.00 μB per atom.

---

Record 3
This record from Alexandria via LeMat-Bulk describes a geometry-optimized NdDy2Au structure. The functional is PBE-GGA.

extended XYZ file:
```
4
Lattice="3.6408 0.0000 0.0000 0.0000 3.6408 0.0000 0.0000 0.0000 8.5875" Properties=species:S:1:pos:R:3 pbc="T T T"
Nd 1.8204 1.8204 4.2938
Au 1.8204 1.8204 0.0000
Dy 0.0000 0.0000 6.8575
Dy 0.0000 0.0000 1.7301
```

Calculated values
The energy of formation from the pure elements comes out at -404 meV/atom. The calculated total energy is -4.7166 eV per atom. The energy above the most stable polymorph in this dataset comes out at 0.09 eV/f.u. Its total magnetization is 0.00 μB per atom.

---

Record 4
This record from Alexandria via LeMat-Bulk describes a geometry-optimized Nd2DyAu structure. The functional is PBE-GGA.

extended XYZ file:
```
4
Lattice="3.7339 0.0000 0.0000 1.8669 3.2337 0.0000 1.8669 1.0779 10.2796" Properties=species:S:1:pos:R:3 pbc="T T T"
Nd 1.8670 1.0779 2.2306
Nd 5.6008 3.2336 8.0490
Au 0.0000 0.0000 0.0000
Dy 3.7339 2.1558 5.1398
```

Calculated values
The energy of formation from the pure elements comes out at -241 meV/atom. The calculated total energy is -4.5946 eV per atom. The energy above the most stable polymorph in this dataset comes out at 0.64 eV/f.u. Its total magnetization is 0.00 μB per atom.